First-principles (PBE) data for a geometry-optimized RbAgSn3 structure, as listed in the Alexandria database.

Summary:
Energy of formation from the pure elements: -0.041 eV per atom
Total magnetization: 0.00 μB per formula unit
Total DFT energy (no corrections): -3.206 eV/atom
Polymorph energy (0 for the lowest one): 123.7 meV/atom

Geometry as CIF:
```
data_RbAgSn3
_chemical_formula_sum 'Rb2 Ag2 Sn6'
_cell_length_a 6.692
_cell_length_b 7.062
_cell_length_c 7.269
_cell_angle_alpha 89.87
_cell_angle_beta 89.98
_cell_angle_gamma 89.90
_symmetry_space_group_name_H-M 'P 1'
_symmetry_Int_Tables_number 1
loop_
_symmetry_equiv_pos_as_xyz
'x,y,z'
loop_
_atom_site_label
_atom_site_type_symbol
_atom_site_fract_x
_atom_site_fract_y
_atom_site_fract_z
Rb1 Rb 0.000 0.000 0.000
Rb2 Rb 0.499 0.496 0.299
Ag1 Ag 0.003 0.296 0.548
Ag2 Ag 0.502 0.802 0.756
Sn1 Sn 0.224 0.519 0.825
Sn2 Sn 0.276 0.010 0.471
Sn3 Sn 0.499 0.183 0.844
Sn4 Sn 0.725 0.013 0.472
Sn5 Sn 0.778 0.516 0.826
Sn6 Sn 0.998 0.675 0.449
```